No. 1
VASP calculation (PBE-GGA) on Nd2H16S3O20 after structural relaxation. Values from VASP.

Density of states at the Fermi level = 0.0000 states/eV per atom
Electronic total energy = -5.77 eV/atom
Magnetic moment = 0.00 μB/atom
Space group = C2/c

Cell and atoms, written as Quantum ESPRESSO input:
```
&SYSTEM
  ibrav = 0, nat = 82, ntyp = 4
/
ATOMIC_SPECIES
Nd 144.24 Nd.upf
H 1.01 H.upf
S 32.06 S.upf
O 16.00 O.upf
CELL_PARAMETERS angstrom
6.898 0.000 0.000
-3.449 6.853 -0.021
0.000 -4.152 18.068
ATOMIC_POSITIONS angstrom
Nd -0.187 1.999 10.939
Nd 3.263 -1.375 16.143
Nd 3.636 0.702 7.108
Nd 0.187 4.075 1.905
H -0.171 0.572 13.653
H 3.278 0.053 13.429
H 3.620 2.129 4.395
H 0.171 2.648 4.619
H 0.165 -0.623 12.636
H 3.614 1.247 14.446
H 3.285 3.323 5.411
H -0.165 1.453 3.602
H 4.141 -1.975 11.744
H 0.692 2.600 15.338
H -0.692 4.676 6.304
H 2.758 0.101 2.710
H 2.027 4.016 11.945
H 5.476 -3.391 15.136
H 1.422 -1.315 6.102
H -2.027 6.092 2.911
H 1.010 -0.256 9.341
H -2.439 0.881 17.741
H 2.439 2.957 8.707
H 5.889 1.820 0.307
H -0.552 -0.497 9.094
H 2.897 1.122 17.988
H 4.002 3.198 8.954
H 0.552 1.579 0.060
H -2.285 4.232 10.951
H 1.165 -3.607 16.131
H 5.734 -1.531 7.096
H 2.285 6.308 1.917
H 2.171 -2.092 9.867
H -1.278 2.717 17.215
H 1.278 4.793 8.181
H 4.727 -0.016 0.833
S 1.137 -3.114 13.551
S 5.761 -1.038 4.517
S 3.220 0.459 10.653
S -0.229 0.166 16.429
S 0.229 2.242 7.395
S 3.679 2.535 1.619
O -0.051 0.340 12.696
O 3.398 0.285 14.386
O 3.500 2.361 5.352
O 0.051 2.416 3.662
O 1.095 3.974 11.620
O 4.544 -3.350 15.462
O 2.354 -1.273 6.428
O -1.095 6.050 2.585
O 0.113 -0.156 9.742
O 3.562 0.780 17.340
O 3.336 2.857 8.306
O -0.113 1.920 0.708
O -1.717 3.944 10.181
O 1.732 -3.319 16.901
O 5.166 -1.243 7.867
O 1.717 6.020 1.147
O 1.992 -2.098 14.212
O -1.457 2.723 12.870
O 1.457 4.799 3.835
O 4.907 -0.022 5.178
O 0.285 -2.440 12.519
O -3.164 3.064 14.563
O 3.164 5.140 5.529
O 6.614 -0.363 3.484
O 2.833 -0.268 9.373
O -0.616 0.893 17.709
O 0.616 2.969 8.675
O 4.065 1.808 0.338
O 3.260 -0.514 11.765
O -0.189 1.139 15.317
O 0.189 3.215 6.282
O 3.638 1.562 2.731
O 2.217 1.516 10.927
O -1.232 -0.892 16.155
O 1.232 1.184 7.120
O 4.681 3.592 1.893
O 4.547 1.071 10.414
O 1.098 -0.446 16.668
O -1.098 1.630 7.634
O 2.351 3.147 1.380
```

=====

No. 2
VASP calculation (PBE-GGA) on ThTaCo after structural relaxation. Values from VASP.

Density of states at the Fermi level = 1.1798 states/eV per atom
Magnetic moment = 0.00 μB/atom
Space group = Fmmm
Calculated formation energy = -0.0544 eV per atom

Cell and atoms, written as Quantum ESPRESSO input:
```
&SYSTEM
  ibrav = 0, nat = 6, ntyp = 3
/
ATOMIC_SPECIES
Th 232.04 Th.upf
Ta 180.95 Ta.upf
Co 58.93 Co.upf
CELL_PARAMETERS angstrom
-3.665 0.181 -4.042
-1.597 -0.343 5.209
2.553 4.552 -0.313
ATOMIC_POSITIONS angstrom
Th -2.969 0.005 -0.930
Th -2.293 -0.167 2.097
Ta -2.683 2.923 0.765
Ta -0.025 1.467 0.089
Co -1.871 2.326 -1.886
Co -0.837 2.064 2.740
```

=====

No. 3
VASP calculation (PBE-GGA) on La2YS4 after structural relaxation. Values from VASP.

Density of states at the Fermi level = 0.4498 states/eV per atom
Relative energy among the computed polymorphs = 1.660 eV per formula unit
Magnetic moment = 0.07 μB/atom
Space group = I4/mmm
Raw formation energy = -1.83 eV/atom

Cell and atoms, written as Quantum ESPRESSO input:
```
&SYSTEM
  ibrav = 0, nat = 7, ntyp = 3
/
ATOMIC_SPECIES
Y 88.91 Y.upf
S 32.06 S.upf
La 138.91 La.upf
CELL_PARAMETERS angstrom
5.124 0.000 0.000
0.000 5.124 0.000
2.562 2.562 7.275
ATOMIC_POSITIONS angstrom
Y 0.000 0.000 0.000
S 2.562 2.562 4.584
S 5.124 5.124 2.691
S 0.000 2.562 0.000
S 2.562 0.000 0.000
La 2.562 2.562 1.860
La 5.124 5.124 5.416
```

=====

No. 4
VASP calculation (PBE-GGA) on Nd8Ag2Rh3 after structural relaxation. Values from VASP.

Density of states at the Fermi level = 1.2229 states/eV per atom
Magnetic moment = 0.00 μB/atom
Space group = P2/m
Calculated formation energy = -0.3115 eV per atom

Cell and atoms, written as Quantum ESPRESSO input:
```
&SYSTEM
  ibrav = 0, nat = 13, ntyp = 3
/
ATOMIC_SPECIES
Nd 144.24 Nd.upf
Ag 107.87 Ag.upf
Rh 102.91 Rh.upf
CELL_PARAMETERS angstrom
-4.423 2.318 0.130
-4.361 -8.520 3.514
3.509 6.410 5.129
ATOMIC_POSITIONS angstrom
Nd -6.300 -1.452 3.472
Nd 1.026 1.660 5.301
Nd -4.116 2.814 1.733
Nd -1.159 -2.607 7.040
Nd -2.295 0.652 6.248
Nd -0.083 4.975 4.457
Nd -5.192 -4.767 4.315
Nd -2.979 -0.444 2.524
Ag -1.532 2.258 3.588
Ag -3.743 -2.051 5.184
Rh -2.211 1.159 0.065
Rh 2.398 4.238 6.023
Rh -7.672 -4.030 2.749
```

=====

No. 5
VASP calculation (PBE-GGA) on La4Pd2F after structural relaxation. Values from VASP.

Density of states at the Fermi level = 1.1549 states/eV per atom
Magnetic moment = 0.00 μB/atom
Space group = I4/mmm
Raw formation energy = -1.10 eV/atom

Cell and atoms, written as Quantum ESPRESSO input:
```
&SYSTEM
  ibrav = 0, nat = 7, ntyp = 3
/
ATOMIC_SPECIES
F 19.00 F.upf
Pd 106.42 Pd.upf
La 138.91 La.upf
CELL_PARAMETERS angstrom
5.022 0.000 0.000
0.000 5.022 0.000
-2.511 -2.511 7.547
ATOMIC_POSITIONS angstrom
F 0.000 0.000 0.000
Pd 2.511 2.511 1.846
Pd 0.000 0.000 5.701
La 2.511 2.511 4.581
La 0.000 0.000 2.966
La 0.000 2.511 0.000
La 2.511 0.000 0.000
```

=====

No. 6
VASP calculation (PBE-GGA) on Li2NbTl2 after structural relaxation. Values from VASP.

Density of states at the Fermi level = 0.5333 states/eV per atom
Magnetic moment = 0.03 μB/atom
Space group = P4/mbm
Calculated formation energy = 0.1506 eV per atom

Cell and atoms, written as Quantum ESPRESSO input:
```
&SYSTEM
  ibrav = 0, nat = 10, ntyp = 3
/
ATOMIC_SPECIES
Tl 204.38 Tl.upf
Nb 92.91 Nb.upf
Li 6.94 Li.upf
CELL_PARAMETERS angstrom
-6.084 4.685 1.158
0.648 -1.053 7.667
1.876 2.394 0.170
ATOMIC_POSITIONS angstrom
Tl 0.279 1.328 5.515
Tl -2.674 3.525 7.153
Tl -3.839 4.699 3.480
Tl -0.886 2.502 1.841
Nb 0.000 0.000 0.000
Nb -2.718 1.816 4.412
Li -1.749 0.859 7.200
Li -4.962 3.479 5.763
Li -3.687 2.773 1.625
Li -0.474 0.154 3.062
```

=====

No. 7
VASP calculation (PBE-GGA) on PrNd2H after structural relaxation. Values from VASP.

Density of states at the Fermi level = 1.1079 states/eV per atom
Relative energy among the computed polymorphs = 0.045 eV per formula unit
Magnetic moment = 0.00 μB/atom
Space group = R3m

Cell and atoms, written as Quantum ESPRESSO input:
```
&SYSTEM
  ibrav = 0, nat = 4, ntyp = 3
/
ATOMIC_SPECIES
Pr 140.91 Pr.upf
Nd 144.24 Nd.upf
H 1.01 H.upf
CELL_PARAMETERS angstrom
-0.803 -1.503 -3.306
2.365 -2.400 -1.575
-3.639 -8.088 2.469
ATOMIC_POSITIONS angstrom
Pr -1.029 -5.979 -1.216
Nd -2.970 -6.997 1.811
Nd -0.156 -2.405 -0.961
H 1.039 -2.606 -3.252
```

=====

No. 8
VASP calculation (PBE-GGA) on ErMg7Cd4 after structural relaxation. Values from VASP.

Density of states at the Fermi level = 0.4136 states/eV per atom
Magnetic moment = 0.00 μB/atom
Space group = C2/m
Calculated formation energy = 0.0857 eV per atom

Cell and atoms, written as Quantum ESPRESSO input:
```
&SYSTEM
  ibrav = 0, nat = 12, ntyp = 3
/
ATOMIC_SPECIES
Er 167.26 Er.upf
Mg 24.30 Mg.upf
Cd 112.41 Cd.upf
CELL_PARAMETERS angstrom
-4.252 3.307 0.843
-7.248 -3.983 -3.304
-3.308 -1.270 5.929
ATOMIC_POSITIONS angstrom
Er 0.000 0.000 0.000
Mg -11.565 -1.643 1.007
Mg -3.243 -0.302 2.461
Mg -5.644 -2.615 -0.580
Mg -9.164 0.670 4.048
Mg -8.173 -2.201 2.674
Mg -2.126 1.653 0.421
Mg -6.635 0.255 0.794
Cd -6.121 0.213 3.554
Cd -8.687 -2.159 -0.087
Cd -10.922 -1.546 3.873
Cd -3.887 -0.399 -0.406
```

=====

No. 9
VASP calculation (PBE-GGA) on DyBe2Pd7 after structural relaxation. Values from VASP.

Density of states at the Fermi level = 0.3597 states/eV per atom
Magnetic moment = 0.00 μB/atom
Space group = Cmmm
Calculated formation energy = -0.3105 eV per atom

Cell and atoms, written as Quantum ESPRESSO input:
```
&SYSTEM
  ibrav = 0, nat = 10, ntyp = 3
/
ATOMIC_SPECIES
Dy 162.50 Dy.upf
Be 9.01 Be.upf
Pd 106.42 Pd.upf
CELL_PARAMETERS angstrom
-3.866 1.630 -0.689
-1.419 -5.037 -3.955
-1.592 -1.128 6.262
ATOMIC_POSITIONS angstrom
Dy 0.000 0.000 0.000
Be -3.402 -3.092 -1.345
Be -3.475 -1.443 2.963
Pd -1.475 -3.753 -0.599
Pd -1.535 -2.412 2.906
Pd -2.534 0.143 1.435
Pd -4.343 -4.678 0.184
Pd -2.488 -0.879 -1.238
Pd -4.389 -3.656 2.856
Pd -3.438 -2.268 0.809
```